--- w ---
First-principles (PBE) data for a relaxed structure of Dy4YEr6, as listed in Alexandria via LeMat-Bulk.

Structure (POSCAR):
```
Dy4YEr6
1.0
7.5956 0.0000 0.0000
0.0000 7.5956 0.0000
-3.7978 -3.7978 6.4715
Dy Y Er
4 1 6
Direct
0.0921 0.7557 0.8479 Dy
0.9079 0.9079 0.1521 Dy
0.7557 0.0921 0.8479 Dy
0.2443 0.2443 0.1521 Dy
0.5000 0.5000 0.0000 Y
0.9300 0.4392 0.3692 Er
0.4392 0.9300 0.3692 Er
0.5608 0.5608 0.6308 Er
0.0000 0.5000 0.0000 Er
0.0700 0.0700 0.6308 Er
0.5000 0.0000 0.0000 Er
```

Values from the calculation:
M_tot   0.0 μB per cell
Volume   373.36 Å³/cell



--- x ---
First-principles (PBE) data for a relaxed structure of Dy4YEr6, as listed in Alexandria via LeMat-Bulk.

Structure (POSCAR):
```
Dy4YEr6
1.0
-2.4435 -0.3374 5.0412
5.3790 -1.2972 -0.6037
6.3760 24.2452 4.7130
Dy Y Er
8 2 12
Direct
0.8371 0.6742 0.5423 Dy
0.4878 0.9757 0.1215 Dy
0.1629 0.3258 0.4577 Dy
0.5122 0.0243 0.8785 Dy
0.8371 0.6742 0.9577 Dy
0.1629 0.3258 0.0423 Dy
0.5122 0.0243 0.6215 Dy
0.4878 0.9757 0.3785 Dy
0.8254 0.6508 0.2500 Y
0.1746 0.3492 0.7500 Y
0.5000 0.0000 0.0000 Er
0.5000 0.0000 0.5000 Er
0.1570 0.3140 0.3184 Er
0.8430 0.6860 0.6816 Er
0.8430 0.6860 0.8184 Er
0.1570 0.3140 0.1816 Er
0.8234 0.6467 0.3958 Er
0.1766 0.3533 0.6042 Er
0.1766 0.3533 0.8958 Er
0.8234 0.6467 0.1042 Er
0.4916 0.9833 0.2500 Er
0.5084 0.0167 0.7500 Er
```

Values from the calculation:
M_tot   0.0 μB per cell
Volume   688.17 Å³/cell



Result of the stability comparison: w is the least stable of them.



--- w ---
First-principles (PBE) data for a relaxed structure of Dy2YEr9, as listed in Alexandria via LeMat-Bulk.

Structure (POSCAR):
```
Dy2YEr9
1.0
-2.5994 -2.3078 -0.1243
3.6364 -3.5637 -9.8792
3.7481 -4.7245 9.3356
Dy Y Er
2 1 9
Direct
0.0000 0.3333 0.6667 Dy
0.0000 0.6667 0.3333 Dy
0.0000 0.0000 0.0000 Y
0.0000 0.0000 0.5000 Er
0.0000 0.5000 0.5000 Er
0.0000 0.5000 0.0000 Er
0.5000 0.3534 0.1767 Er
0.5000 0.1767 0.8233 Er
0.5000 0.1767 0.3534 Er
0.5000 0.8233 0.6466 Er
0.5000 0.8233 0.1767 Er
0.5000 0.6466 0.8233 Er
```

Values from the calculation:
M_tot   0.0 μB per cell
Volume   372.09 Å³/cell



--- x ---
First-principles (PBE) data for a relaxed structure of Dy2YEr9, as listed in Alexandria via LeMat-Bulk.

Structure (POSCAR):
```
Dy2YEr9
1.0
4.9771 0.0000 0.0000
0.0000 4.9771 0.0000
0.0000 0.0000 14.9274
Dy Y Er
2 1 9
Direct
0.0000 0.0000 0.3335 Dy
0.0000 0.0000 0.6666 Dy
0.0000 0.0000 0.0000 Y
0.5000 0.5000 0.0000 Er
0.5000 0.5000 0.3335 Er
0.5000 0.5000 0.6665 Er
0.5000 0.0000 0.1673 Er
0.5000 0.0000 0.5000 Er
0.5000 0.0000 0.8327 Er
0.0000 0.5000 0.1673 Er
0.0000 0.5000 0.5000 Er
0.0000 0.5000 0.8327 Er
```

Values from the calculation:
M_tot   0.0 μB per cell
Volume   369.77 Å³/cell



Result of the stability comparison: w is the least stable of them.



--- w ---
First-principles (PBE) data for a relaxed structure of Dy4Y5Er3, as listed in Alexandria via LeMat-Bulk.

Structure (POSCAR):
```
Dy4Y5Er3
1.0
6.8463 -0.3960 1.8199
-5.1649 7.4382 -6.6054
4.0665 -3.8735 11.4804
Dy Y Er
4 5 3
Direct
0.9173 0.8332 0.6661 Dy
0.8356 0.6689 0.8337 Dy
0.1645 0.3311 0.1663 Dy
0.0827 0.1668 0.3339 Dy
0.3343 0.6653 0.8314 Y
0.5000 0.0000 0.5000 Y
0.7504 0.4996 0.9995 Y
0.2496 0.5004 0.0005 Y
0.6657 0.3347 0.1686 Y
0.5835 0.1663 0.3335 Er
0.0000 0.0000 0.5000 Er
0.4165 0.8337 0.6665 Er
```

Values from the calculation:
M_tot   0.0 μB per cell
Volume   377.98 Å³/cell



--- x ---
First-principles (PBE) data for a relaxed structure of Dy4Y5Er3, as listed in Alexandria via LeMat-Bulk.

Structure (POSCAR):
```
Dy4Y5Er3
1.0
5.8489 0.0000 0.0000
2.9244 7.5297 -2.8281
2.9244 -0.7658 9.1096
Dy Y Er
4 5 3
Direct
0.8599 0.2211 0.0590 Dy
0.1640 0.0510 0.6209 Dy
0.8360 0.9490 0.3791 Dy
0.1401 0.7789 0.9410 Dy
0.6296 0.9448 0.7959 Y
0.5000 0.5000 0.5000 Y
0.2123 0.4606 0.1148 Y
0.7877 0.5394 0.8852 Y
0.3704 0.0552 0.2041 Y
0.5216 0.6878 0.2689 Er
0.0000 0.5000 0.5000 Er
0.4784 0.3122 0.7311 Er
```

Values from the calculation:
M_tot   0.6 μB per cell
Volume   388.52 Å³/cell



Result of the stability comparison: x is the least stable of them.